No. 1
{"formula": "K2TaOs", "functional": "PBE-GGA", "state": "relaxed", "lattice": [[-1.1904, -2.0306, -1.4149], [2.4571, -0.7812, -0.9461], [1.3210, -7.4538, 9.5858]], "species": ["K", "K", "Os", "Ta"], "fractional_positions": [[0.0000, 0.0000, 0.0237], [0.0000, 0.0000, 0.4763], [0.5000, 0.5000, 0.2500], [0.5000, 0.5000, 0.7500]], "e_above_lowest_polymorph_ev_per_fu": 3.45, "delta_e_f_ev_per_atom": 1.462, "crystal_system": "tetragonal"}

=====

No. 2
{"formula": "Li2Ag6Sn", "functional": "PBE-GGA", "state": "relaxed", "lattice": [[-1.6868, 3.1732, -2.2413], [-2.0033, -4.5289, -0.9024], [-3.8456, 3.0738, 7.2459]], "species": ["Li", "Li", "Ag", "Ag", "Ag", "Ag", "Ag", "Ag", "Sn"], "fractional_positions": [[0.6766, 0.3531, 0.7347], [0.3234, 0.6469, 0.2653], [0.3348, 0.6695, 0.9469], [0.6652, 0.3305, 0.0531], [0.9969, 0.9938, 0.1641], [0.6632, 0.3263, 0.3853], [0.0031, 0.0062, 0.8359], [0.3368, 0.6737, 0.6147], [0.0000, 0.0000, 0.5000]], "delta_e_f_ev_per_atom": -0.145, "crystal_system": "monoclinic"}

=====

No. 3
{"formula": "MgTi2NiIr", "functional": "PBE-GGA", "state": "relaxed", "lattice": [[-1.2904, -2.0317, 3.9772], [2.2699, -3.6208, -1.1132], [3.7731, 1.7190, 2.1024]], "species": ["Ni", "Mg", "Ir", "Ti", "Ti"], "fractional_positions": [[0.5000, 0.5000, 0.5000], [0.0000, 0.0000, 0.0000], [0.0000, 0.5000, 0.0000], [0.0000, 0.0000, 0.5000], [0.5000, 0.0000, 0.0000]], "delta_e_f_ev_per_atom": 1.442, "crystal_system": "tetragonal"}

=====

No. 4
{"formula": "Dy3HoZr", "functional": "PBE-GGA", "state": "relaxed", "lattice": [[8.8491, -0.6195, 1.3769], [-6.0694, 7.8666, -6.5020], [2.0581, -3.2863, 7.1740]], "species": ["Dy", "Dy", "Dy", "Dy", "Dy", "Dy", "Ho", "Ho", "Zr", "Zr"], "fractional_positions": [[0.2412, 0.6478, 0.1486], [0.6702, 0.8770, 0.9751], [0.5625, 0.7397, 0.4368], [0.4375, 0.2603, 0.5632], [0.7588, 0.3522, 0.8514], [0.3298, 0.1230, 0.0249], [0.8480, 0.4693, 0.3751], [0.1520, 0.5307, 0.6249], [0.0515, 0.0703, 0.7579], [0.9485, 0.9297, 0.2421]], "e_above_lowest_polymorph_ev_per_fu": 0.00, "delta_e_f_ev_per_atom": 0.055, "crystal_system": "triclinic"}

=====

No. 5
{"formula": "HgBiBr2", "functional": "PBE-GGA", "state": "relaxed", "lattice": [[2.1678, 0.0000, 10.9742], [-1.0839, 1.8774, 10.9742], [-1.0839, -1.8774, 10.9742]], "species": ["Bi", "Br", "Br", "Hg"], "fractional_positions": [[0.5000, 0.5000, 0.5000], [0.9016, 0.9016, 0.9016], [0.0984, 0.0984, 0.0984], [0.0000, 0.0000, 0.0000]], "e_above_lowest_polymorph_ev_per_fu": 0.50, "raw_formation_energy_mev_per_atom": -201, "crystal_system": "trigonal"}

=====

No. 6
{"formula": "Tb2InCu2Pd5", "functional": "PBE-GGA", "state": "relaxed", "lattice": [[3.9034, 0.0000, 0.0000], [0.0000, 9.5183, 0.0000], [0.0000, 0.0000, 9.5183]], "species": ["Tb", "Tb", "Tb", "Tb", "In", "In", "Cu", "Cu", "Cu", "Cu", "Pd", "Pd", "Pd", "Pd", "Pd", "Pd", "Pd", "Pd", "Pd", "Pd"], "fractional_positions": [[0.0000, 0.6741, 0.1741], [0.0000, 0.3259, 0.8259], [0.0000, 0.1741, 0.3259], [0.0000, 0.8259, 0.6741], [0.0000, 0.0000, 0.0000], [0.0000, 0.5000, 0.5000], [0.0000, 0.1222, 0.6222], [0.0000, 0.8778, 0.3778], [0.0000, 0.6222, 0.8778], [0.0000, 0.3778, 0.1222], [0.5000, 0.2075, 0.0700], [0.5000, 0.7925, 0.9300], [0.5000, 0.0700, 0.7925], [0.5000, 0.7075, 0.4300], [0.5000, 0.9300, 0.2075], [0.5000, 0.2925, 0.5700], [0.5000, 0.5700, 0.7075], [0.5000, 0.4300, 0.2925], [0.5000, 0.5000, 0.0000], [0.5000, 0.0000, 0.5000]], "delta_e_f_ev_per_atom": -0.678, "crystal_system": "tetragonal"}

=====

No. 7
{"formula": "Zr2ScSbAu", "functional": "PBE-GGA", "state": "relaxed", "lattice": [[-4.6613, 0.5026, -1.7275], [0.5424, -4.3581, -2.7315], [-1.7212, -2.6430, 3.8751]], "species": ["Sc", "Sb", "Au", "Zr", "Zr"], "fractional_positions": [[0.0000, 0.0000, 0.0000], [0.0000, 0.5000, 0.0000], [0.5000, 0.5000, 0.5000], [0.0000, 0.0000, 0.5000], [0.5000, 0.0000, 0.0000]], "raw_formation_energy_mev_per_atom": 786, "crystal_system": "tetragonal"}

=====

No. 8
{"formula": "SiB2", "functional": "PBE-GGA", "state": "relaxed", "lattice": [[-1.3000, 0.2939, -2.9250], [3.1529, -0.4138, -1.0428], [-0.4864, -5.7146, 0.8233]], "species": ["Si", "Si", "B", "B", "B", "B"], "fractional_positions": [[0.6919, 0.4699, 0.8441], [0.3081, 0.5301, 0.1559], [0.6510, 0.9663, 0.6482], [0.3490, 0.0337, 0.3518], [0.9065, 0.2530, 0.4457], [0.0935, 0.7470, 0.5543]], "e_above_lowest_polymorph_ev_per_fu": 0.16, "raw_formation_energy_mev_per_atom": 244, "crystal_system": "triclinic"}

=====

No. 9
{"formula": "KGaPb", "functional": "PBE-GGA", "state": "relaxed", "lattice": [[5.6087, -0.8419, 0.0000], [-1.0437, 5.5746, 0.0000], [0.0000, 0.0000, 6.7382]], "species": ["K", "K", "Ga", "Ga", "Pb", "Pb"], "fractional_positions": [[0.7966, 0.0683, 0.7500], [0.0683, 0.7966, 0.2500], [0.6930, 0.1705, 0.2500], [0.1705, 0.6930, 0.7500], [0.4328, 0.4328, 0.0000], [0.4328, 0.4328, 0.5000]], "delta_e_f_ev_per_atom": 0.054, "crystal_system": "orthorhombic"}